(1)
Computed, not measured: a geometry-optimized Hf2ZrTa structure at the PBE-GGA level of DFT.

For the excess energy over the best structure of this formula in the dataset, the calculation gives 0 meV per atom.

It has space group P4/mmm (No. 123), with a = 3.438 Å, b = 3.438 Å, c = 7.234 Å, α = 90.00°, β = 90.00° and γ = 90.00°. The distinct sites, in fractional coordinates, are Hf at (0.000, 0.000, 0.225), Zr at (0.500, 0.500, 0.500) and Ta at (0.500, 0.500, 0.000).


(2)
Computed, not measured: a geometry-optimized HfZrTa structure at the PBE-GGA level of DFT.

For the excess energy over the best structure of this formula in the dataset, the calculation gives 543 meV per atom.

It has space group Fddd (No. 70, origin choice 2), with a = 5.671 Å, b = 12.698 Å, c = 15.350 Å, α = 90.00°, β = 90.00° and γ = 90.00°. The distinct sites, in fractional coordinates, are Hf at (0.122, 0.375, 0.375), Zr at (0.125, 0.125, 0.328) and Ta at (0.000, 0.000, 0.500).


(3)
Computed, not measured: a geometry-optimized Hf2Zr2Ta structure at the PBE-GGA level of DFT.

For the excess energy over the best structure of this formula in the dataset, the calculation gives 0 meV per atom.

It has space group P4/mbm (No. 127), with a = 7.522 Å, b = 7.522 Å, c = 3.975 Å, α = 90.00°, β = 90.00° and γ = 90.00°. The distinct sites, in fractional coordinates, are Hf at (0.145, 0.355, 0.000), Zr at (0.157, 0.657, 0.500) and Ta at (0.000, 0.000, 0.000).


(4)
Computed, not measured: a geometry-optimized Tb3Hf structure at the PBE-GGA level of DFT.

For the excess energy over the best structure of this formula in the dataset, the calculation gives 159 meV per atom.

It has space group Pmm2 (No. 25), with a = 3.331 Å, b = 3.332 Å, c = 10.863 Å, α = 90.00°, β = 90.00° and γ = 90.00°. The distinct sites, in fractional coordinates, are Tb at (0.000, 0.000, 0.000), Tb at (0.000, 0.500, 0.464), Tb at (0.500, 0.500, 0.756) and Hf at (0.500, 0.000, 0.260).


(5)
Computed, not measured: a geometry-optimized TbHf4 structure at the PBE-GGA level of DFT.

The calculation puts the total energy at -7.392 eV per atom.

It has space group Pm-3m (No. 221), with a = 5.087 Å, b = 5.087 Å, c = 5.087 Å, α = 90.00°, β = 90.00° and γ = 90.00°. The distinct sites, in fractional coordinates, are Tb at (0.000, 0.000, 0.000), Hf at (0.000, 0.000, 0.500) and Hf at (0.500, 0.500, 0.500).


(6)
Computed, not measured: a geometry-optimized Tb2Hf structure at the PBE-GGA level of DFT.

The calculation puts the total energy at -6.281 eV per atom.

It has space group I4/mmm (No. 139), with a = 3.364 Å, b = 3.364 Å, c = 14.904 Å, α = 90.00°, β = 90.00° and γ = 90.00°. The distinct sites, in fractional coordinates, are Tb at (0.000, 0.000, 0.155) and Hf at (0.000, 0.000, 0.500).


(7)
Computed, not measured: a geometry-optimized Tb3Hf structure at the PBE-GGA level of DFT.

For the excess energy over the best structure of this formula in the dataset, the calculation gives 0 meV per atom.

It has space group Imm2 (No. 44), with a = 3.486 Å, b = 10.987 Å, c = 6.095 Å, α = 90.00°, β = 90.00° and γ = 90.00°. The distinct sites, in fractional coordinates, are Tb at (0.000, 0.000, 0.000), Tb at (0.000, 0.240, 0.345) and Hf at (0.000, 0.500, 0.015).


(8)
Computed, not measured: a geometry-optimized TbHf2 structure at the PBE-GGA level of DFT.

For the excess energy over the best structure of this formula in the dataset, the calculation gives 212 meV per atom.

It has space group Fd-3m (No. 227, origin choice 2), with a = 8.580 Å, b = 8.580 Å, c = 8.580 Å, α = 90.00°, β = 90.00° and γ = 90.00°. The distinct sites, in fractional coordinates, are Tb at (0.125, 0.125, 0.125) and Hf at (0.000, 0.000, 0.500).


- Number 7 is which compound?
  Tb3Hf